A geometry-optimized Sr2ScSb4Pt3 structure. Source: Alexandria via LeMat-Bulk, functional PBE-GGA.

Structure (extended XYZ):
```
10
Lattice="-0.890 1.614 4.236 0.984 -4.146 1.786 11.104 3.126 1.141" Properties=species:S:1:pos:R:3 pbc="T T T"
Sr 2.258 1.568 2.396
Sr 8.893 0.292 1.756
Sc 5.599 0.297 3.582
Sb 0.047 -1.266 3.011
Sb 0.000 0.000 0.000
Sb 6.686 2.814 2.851
Sb 4.465 -0.954 1.301
Pt 5.552 1.563 0.570
Pt 9.265 3.540 3.116
Pt 1.886 -1.680 1.036
```

## Properties
Magnetic moment, Bohr magnetons per cell: 0.00
Uncorrected formation energy, eV per formula unit: -8.54
DOS(E_F), states/eV per atom: 0.423